No. 1
NaTaSe2N | PBE | relaxed

The structure in CIF format:
```
data_NaTaSe2N
_cell_length_a 5.197
_cell_length_b 5.197
_cell_length_c 3.977
_cell_angle_alpha 90.00
_cell_angle_beta 90.00
_cell_angle_gamma 90.00
_space_group_name_H-M_alt 'P 1'
_space_group_IT_number 1
loop_
_space_group_symop_operation_xyz
'x,y,z'
loop_
_atom_site_label
_atom_site_type_symbol
_atom_site_fract_x
_atom_site_fract_y
_atom_site_fract_z
Na1 Na 0.500 0.500 0.500
N1 N 0.000 0.000 0.500
Se1 Se 0.000 0.500 0.000
Se2 Se 0.500 0.000 0.000
Ta1 Ta 0.000 0.000 0.000
```

Summary:
formation energy from raw total energies = -0.449 eV/atom
DOS(E_F) = 3.4 states/eV/cell
spin magnetization = 0.170 μB per atom
E above lowest polymorph = 0.00 kJ/mol of atoms

No. 2
CeDy2Y | PBE | relaxed

The structure in CIF format:
```
data_CeDy2Y
_cell_length_a 3.450
_cell_length_b 3.450
_cell_length_c 12.389
_cell_angle_alpha 82.00
_cell_angle_beta 82.00
_cell_angle_gamma 60.00
_space_group_name_H-M_alt 'P 1'
_space_group_IT_number 1
loop_
_space_group_symop_operation_xyz
'x,y,z'
loop_
_atom_site_label
_atom_site_type_symbol
_atom_site_fract_x
_atom_site_fract_y
_atom_site_fract_z
Y1 Y 0.000 0.000 0.000
Ce1 Ce 0.500 0.500 0.500
Dy1 Dy 0.091 0.091 0.727
Dy2 Dy 0.909 0.909 0.273
```

Summary:
DOS(E_F) = 7.3 states/eV/cell
spin magnetization = 0.163 μB per atom
E above lowest polymorph = 16.26 kJ/mol of atoms
formation energy = 76 kJ/mol of formula units

No. 3
Pm6ErTm2 | PBE | relaxed

The structure in CIF format:
```
data_Pm6ErTm2
_cell_length_a 6.210
_cell_length_b 10.044
_cell_length_c 10.044
_cell_angle_alpha 71.72
_cell_angle_beta 85.12
_cell_angle_gamma 85.12
_space_group_name_H-M_alt 'P 1'
_space_group_IT_number 1
loop_
_space_group_symop_operation_xyz
'x,y,z'
loop_
_atom_site_label
_atom_site_type_symbol
_atom_site_fract_x
_atom_site_fract_y
_atom_site_fract_z
Pm1 Pm 0.486 0.689 0.407
Pm2 Pm 0.014 0.593 0.311
Pm3 Pm 0.514 0.311 0.593
Pm4 Pm 0.986 0.407 0.689
Pm5 Pm 0.653 0.074 0.356
Pm6 Pm 0.847 0.644 0.926
Pm7 Pm 0.347 0.926 0.644
Pm8 Pm 0.153 0.356 0.074
Pm9 Pm 0.320 0.739 0.022
Pm10 Pm 0.180 0.978 0.261
Pm11 Pm 0.680 0.261 0.978
Pm12 Pm 0.820 0.022 0.739
Er1 Er 0.250 0.099 0.901
Er2 Er 0.750 0.901 0.099
Tm1 Tm 0.416 0.567 0.766
Tm2 Tm 0.084 0.234 0.433
Tm3 Tm 0.584 0.433 0.234
Tm4 Tm 0.916 0.766 0.567
```

Summary:
DOS(E_F) = 24.6 states/eV/cell
spin magnetization = 0.000 μB per atom
E above lowest polymorph = 0.00 kJ/mol of atoms
formation energy = 74 kJ/mol of formula units

No. 4
DyThAlPd | PBE | relaxed

The structure in CIF format:
```
data_DyThAlPd
_cell_length_a 5.152
_cell_length_b 5.152
_cell_length_c 5.152
_cell_angle_alpha 60.00
_cell_angle_beta 60.00
_cell_angle_gamma 60.00
_space_group_name_H-M_alt 'P 1'
_space_group_IT_number 1
loop_
_space_group_symop_operation_xyz
'x,y,z'
loop_
_atom_site_label
_atom_site_type_symbol
_atom_site_fract_x
_atom_site_fract_y
_atom_site_fract_z
Al1 Al 0.500 0.500 0.500
Pd1 Pd 0.000 0.000 0.000
Th1 Th 0.750 0.750 0.750
Dy1 Dy 0.250 0.250 0.250
```

Summary:
DOS(E_F) = 4.5 states/eV/cell
spin magnetization = 0.085 μB per atom
formation energy = -168 kJ/mol of formula units

No. 5
Pa2GeSe | PBE | relaxed

The structure in CIF format:
```
data_Pa2GeSe
_cell_length_a 4.105
_cell_length_b 4.105
_cell_length_c 5.803
_cell_angle_alpha 90.00
_cell_angle_beta 90.00
_cell_angle_gamma 90.00
_space_group_name_H-M_alt 'P 1'
_space_group_IT_number 1
loop_
_space_group_symop_operation_xyz
'x,y,z'
loop_
_atom_site_label
_atom_site_type_symbol
_atom_site_fract_x
_atom_site_fract_y
_atom_site_fract_z
Pa1 Pa 0.000 0.000 0.875
Pa2 Pa 0.500 0.500 0.375
Ge1 Ge 0.500 0.500 0.875
Se1 Se 0.000 0.000 0.375
```

Summary:
formation energy from raw total energies = -0.875 eV/atom
DOS(E_F) = 4.7 states/eV/cell
spin magnetization = 0.001 μB per atom
E above lowest polymorph = 0.00 kJ/mol of atoms

No. 6
TaAl2ReAu | PBE | relaxed

The structure in CIF format:
```
data_TaAl2ReAu
_cell_length_a 4.914
_cell_length_b 4.978
_cell_length_c 4.914
_cell_angle_alpha 90.00
_cell_angle_beta 90.00
_cell_angle_gamma 90.00
_space_group_name_H-M_alt 'P 1'
_space_group_IT_number 1
loop_
_space_group_symop_operation_xyz
'x,y,z'
loop_
_atom_site_label
_atom_site_type_symbol
_atom_site_fract_x
_atom_site_fract_y
_atom_site_fract_z
Re1 Re 0.500 0.500 0.500
Au1 Au 0.000 0.500 0.000
Al1 Al 0.000 0.000 0.500
Al2 Al 0.500 0.000 0.000
Ta1 Ta 0.000 0.000 0.000
```

Summary:
DOS(E_F) = 3.7 states/eV/cell
spin magnetization = 0.623 μB per atom
formation energy = 894 kJ/mol of formula units

> Look up the spin magnetization of the fifth one.

0.001 μB per atom

> Among the records above, which one has the highest DOS(E_F)?

Pm6ErTm2

> Among the records above, which one has the highest spin magnetization?

TaAl2ReAu

> Which of these has the lowest DOS(E_F)?

NaTaSe2N